No. 1
Entry from Alexandria via LeMat-Bulk: crystalline Ba2SbIr at its relaxed geometry (PBE).

Lattice parameters (Å, degrees): 4.8394 5.0651 11.3422 90.00 90.00 90.00
With the nearest neighbours (Å) after each atom.
Space group Amm2 (No. 38)
Unique sites:
Ba  0.0000  0.0000  0.0000  3 Ir 3.36-3.46, 4 Sb 3.67
Ba  0.5000  0.0000  0.2908  3 Sb 3.35-3.48, 4 Ir 3.67
Sb  0.5000  0.0000  0.5980  2 Ir 2.66
Ir  0.0000  0.0000  0.6947  2 Sb 2.66

Calculated values
The calculation puts the energy relative to the elements, uncorrected at -500.3 meV per atom.

***

No. 2
Entry from Alexandria via LeMat-Bulk: crystalline Ho3Cu3Sn4 at its relaxed geometry (PBE).

Lattice parameters (Å, degrees): 9.5930 9.5930 9.5930 90.00 90.00 90.00
With the nearest neighbours (Å) after each atom.
Space group I-43d (No. 220)
Unique sites:
Ho  0.0000  0.2500  0.8750  4 Cu 2.94, 4 Sn 3.26
Cu  0.0000  0.2500  0.3750  4 Sn 2.66, 4 Ho 2.94
Sn  0.0774  0.4226  0.5774  3 Cu 2.66

Calculated values
The energy of formation from the pure elements comes out at -0.487 eV per atom.

***

No. 3
Entry from Alexandria via LeMat-Bulk: crystalline Sr2HfTc at its relaxed geometry (PBE).

Lattice parameters (Å, degrees): 7.5749 7.5749 7.5749 90.00 90.00 90.00
With the nearest neighbours (Å) after each atom.
Space group Fm-3m (No. 225)
Unique sites:
Sr  0.2500  0.2500  0.2500  4 Hf 3.28, 4 Tc 3.28
Hf  0.0000  0.0000  0.0000  8 Sr 3.28
Tc  0.0000  0.0000  0.5000  8 Sr 3.28

Calculated values
The relative energy among the computed polymorphs comes out at 0.426 eV/atom. The energy of formation from the pure elements comes out at 1.198 eV per atom.

***

No. 4
Entry from Alexandria via LeMat-Bulk: crystalline AgAu at its relaxed geometry (PBE).

Lattice parameters (Å, degrees): 9.4780 8.3075 5.5993 90.00 90.00 90.00
With the nearest neighbours (Å) after each atom.
Space group Pbcm (No. 57)
Unique sites:
Ag  0.1226  0.0699  0.2500  7 Au 2.75-3.00
Ag  0.3647  0.5939  0.2500  7 Au 2.74-2.99
Ag  0.3763  0.2500  0.0000  4 Ag 2.80-3.11, 6 Au 3.00-3.03
Au  0.1225  0.7500  0.0000  4 Au 2.80-3.04, 6 Ag 2.99-3.10
Au  0.1294  0.0991  0.7500  7 Ag 2.75-3.00, 2 Au 3.04
Au  0.3856  0.5735  0.7500  9 Ag 2.74-3.03

Calculated values
The energy of formation from the pure elements comes out at 0.029 eV per atom.

***

No. 5
Entry from Alexandria via LeMat-Bulk: crystalline Ti3NiIr2 at its relaxed geometry (PBE).

Lattice parameters (Å, degrees): 2.9661 2.9661 9.9654 90.00 90.00 90.00
With the nearest neighbours (Å) after each atom.
Space group P4/mmm (No. 123)
Unique sites:
Ti  0.0000  0.0000  0.0000  8 Ir 2.71, 4 Ti 2.97
Ti  0.0000  0.0000  0.3439  4 Ni 2.61, 4 Ir 2.70
Ni  0.5000  0.5000  0.5000  8 Ti 2.61
Ir  0.5000  0.5000  0.1728  8 Ti 2.70-2.71, 4 Ir 2.97

Calculated values
The relative energy among the computed polymorphs comes out at 0.026 eV/atom. The energy of formation from the pure elements comes out at -0.676 eV per atom.

***

No. 6
Entry from Alexandria via LeMat-Bulk: crystalline Pm4Sm2Dy2Tm at its relaxed geometry (PBE).

Lattice parameters (Å, degrees): 15.3090 5.1006 8.0380 90.00 108.55 90.00
With the nearest neighbours (Å) after each atom.
Space group C2/m (No. 12)
Unique sites:
Pm  0.0550  0.0000  0.3310  2 Dy 3.58-3.59, 2 Tm 3.59, 4 Sm 3.60-3.63, 4 Pm 3.61-3.62
Pm  0.2219  0.5000  0.3312  1 Tm 3.59, 3 Dy 3.59, 3 Sm 3.61-3.63, 5 Pm 3.61-3.62
Sm  0.1115  0.5000  0.6696  3 Dy 3.58-3.59, 1 Tm 3.59, 7 Pm 3.60-3.63, 1 Sm 3.63
Dy  0.1663  0.0000  0.9999  5 Pm 3.58-3.59, 3 Sm 3.58-3.59, 2 Tm 3.60, 2 Dy 3.61
Tm  0.0000  0.5000  0.0000  2 Sm 3.59, 6 Pm 3.59, 4 Dy 3.60

Calculated values
The energy of formation from the pure elements comes out at 0.019 eV per atom.

***

No. 7
Entry from Alexandria via LeMat-Bulk: crystalline Ac2MgPa at its relaxed geometry (PBE).

Lattice parameters (Å, degrees): 3.6576 3.6576 10.1182 90.00 90.00 90.00
With the nearest neighbours (Å) after each atom.
Space group P4/mmm (No. 123)
Unique sites:
Ac  0.0000  0.0000  0.2471  4 Pa 3.60, 4 Mg 3.64, 4 Ac 3.66
Mg  0.5000  0.5000  0.5000  8 Ac 3.64, 4 Mg 3.66
Pa  0.5000  0.5000  0.0000  8 Ac 3.60, 4 Pa 3.66

Calculated values
The relative energy among the computed polymorphs comes out at 0.000 eV/atom. The energy of formation from the pure elements comes out at 0.229 eV per atom.

***

No. 8
Entry from Alexandria via LeMat-Bulk: crystalline ScTe2Rh at its relaxed geometry (PBE).

Lattice parameters (Å, degrees): 3.8549 4.3041 14.0042 90.00 90.00 90.00
With the nearest neighbours (Å) after each atom.
Space group Immm (No. 71)
Unique sites:
Sc  0.0000  0.0000  0.0000  4 Te 2.88, 4 Rh 2.89
Te  0.0000  0.5000  0.1369  2 Rh 2.72, 2 Sc 2.88
Rh  0.0000  0.0000  0.5000  4 Te 2.72, 4 Sc 2.89

Calculated values
The relative energy among the computed polymorphs comes out at 0.000 eV/atom. The calculation puts the energy relative to the elements, uncorrected at -768.3 meV per atom.